An optimized crystal structure of ZrScCu6. Source: the Open Quantum Materials Database, functional GGA-PBE.

Formation energy (eV per atom): -0.165
Space-group type: Pmm2 (25)
Magnetic moment (μB per formula unit): 0.01

Cell: 4.452 5.580 4.606 Å, 90.00 90.00 90.00°
Fractional coordinates of all 8 atoms:
Cu 0.500 0.239 0.658
Cu 0.500 0.761 0.658
Cu 0.000 0.500 0.806
Cu 0.500 0.000 0.191
Cu 0.000 0.256 0.342
Cu 0.000 0.744 0.342
Sc 0.000 0.000 0.851
Zr 0.500 0.500 0.152



An optimized crystal structure of SrCu2SnSb2. Source: the Open Quantum Materials Database, functional GGA-PBE.

Energy (eV/atom): -3.85
Space-group type: P3m1 (156)

Cell: 4.519 4.519 8.460 Å, 90.00 90.00 120.00°
Fractional coordinates of all 6 atoms:
Sn 0.000 0.000 0.249
Sb 0.333 0.667 0.491
Sb 0.667 0.333 0.007
Sr 0.000 0.000 0.749
Cu 0.333 0.667 0.032
Cu 0.667 0.333 0.475



An optimized crystal structure of ZnGeNO. Source: the Open Quantum Materials Database, functional GGA-PBE.

E above lowest polymorph (meV/atom): 210.1
Space-group type: P4/mmm (123)

Cell: 4.341 4.341 4.474 Å, 90.00 90.00 90.00°
Fractional coordinates of all 8 atoms:
O 0.500 0.500 0.000
O 0.000 0.000 0.000
Ge 0.500 0.500 0.500
Ge 0.000 0.000 0.500
Zn 0.000 0.500 0.999
Zn 0.500 0.000 0.001
N 0.500 0.000 0.500
N 0.000 0.500 0.500



An optimized crystal structure of CsCuS6. Source: the Open Quantum Materials Database, functional GGA-PBE.

Energy (eV/atom): -3.99
Space-group type: P-1 (2)

Cell: 10.821 11.298 7.262 Å, 94.78 101.63 74.16°
Fractional coordinates of all 32 atoms:
S 0.916 0.940 0.167
S 0.397 0.075 0.846
S 0.603 0.925 0.154
S 0.798 0.731 0.804
S 0.203 0.130 0.705
S 0.378 0.586 0.306
S 0.798 0.359 0.595
S 0.918 0.114 0.286
S 0.202 0.641 0.405
S 0.603 0.280 0.159
S 0.397 0.720 0.841
S 0.932 0.429 0.781
S 0.068 0.571 0.219
S 0.202 0.269 0.196
S 0.793 0.242 0.100
S 0.071 0.401 0.320
S 0.929 0.599 0.680
S 0.207 0.758 0.900
S 0.622 0.414 0.694
S 0.615 0.762 0.622
S 0.084 0.060 0.833
S 0.797 0.870 0.295
S 0.385 0.238 0.378
S 0.082 0.886 0.714
Cs 0.698 0.579 0.170
Cs 0.301 0.928 0.321
Cs 0.302 0.421 0.830
Cs 0.699 0.072 0.679
Cu 0.506 0.870 0.852
Cu 0.503 0.612 0.600
Cu 0.497 0.388 0.400
Cu 0.494 0.130 0.148



Number 1: theoretical density 7.51 g/cm³. Number 2: theoretical density 6.40 g/cm³. Number 3: theoretical density 6.62 g/cm³. Number 4: theoretical density 3.09 g/cm³.